This record from Alexandria via LeMat-Bulk describes a relaxed Zr2VNiH crystal. The functional is PBE.

Properties
Energy above the lowest structure with this stoichiometry = 3.8 meV/atom
Crystal system = tetragonal
Volume = 14.40 Å³ per atom

a = 4.530 Å, b = 4.530 Å, c = 3.508 Å
α = 90.00°, β = 90.00°, γ = 90.00°
Sites, in units of the cell vectors:
Zr1 0.000 0.500 0.000
Zr2 0.500 0.000 0.000
V1 0.000 0.000 0.500
Ni1 0.500 0.500 0.500
H1 0.000 0.000 0.000